(1)
! VCo2HRu GGA-PBE optimized geometry; values from VASP
&SYSTEM
  ibrav = 0, nat = 5, ntyp = 4
/
ATOMIC_SPECIES
V 50.94 V.upf
Ru 101.07 Ru.upf
Co 58.93 Co.upf
H 1.01 H.upf
CELL_PARAMETERS angstrom
-1.527 0.082 3.238
-1.227 -3.327 -0.494
3.219 -1.418 1.554
ATOMIC_POSITIONS crystal
V 0.000 0.000 0.500
Ru 0.500 0.500 0.500
Co 0.500 0.000 0.000
Co 0.000 0.500 0.000
H 0.000 0.000 0.000
! E above lowest polymorph = 7 meV per atom
! final energy = -0.2687 Ha/atom
! space group = P4/mmm (123)

***

(2)
! CoHRuW2 GGA-PBE optimized geometry; values from VASP
&SYSTEM
  ibrav = 0, nat = 5, ntyp = 4
/
ATOMIC_SPECIES
W 183.84 W.upf
H 1.01 H.upf
Co 58.93 Co.upf
Ru 101.07 Ru.upf
CELL_PARAMETERS angstrom
-3.818 0.798 -0.512
-0.929 -3.574 1.358
-0.184 1.395 3.545
ATOMIC_POSITIONS crystal
W 0.000 0.500 0.000
W 0.500 0.000 0.000
H 0.000 0.000 0.000
Co 0.500 0.500 0.500
Ru 0.000 0.000 0.500
! E above lowest polymorph = 53 meV per atom
! final energy = -0.3309 Ha/atom
! space group = P4/mmm (123)

***

(3)
! CoHRuW2 GGA-PBE optimized geometry; values from VASP
&SYSTEM
  ibrav = 0, nat = 5, ntyp = 4
/
ATOMIC_SPECIES
W 183.84 W.upf
Ru 101.07 Ru.upf
H 1.01 H.upf
Co 58.93 Co.upf
CELL_PARAMETERS angstrom
-2.805 -0.056 -2.789
1.396 -3.453 -1.335
-2.284 -1.826 2.333
ATOMIC_POSITIONS crystal
W 0.000 0.500 0.000
W 0.500 0.000 0.000
Ru 0.500 0.500 0.500
H 0.000 0.000 0.000
Co 0.000 0.000 0.500
! E above lowest polymorph = 0 meV per atom
! final energy = -0.3329 Ha/atom
! space group = P4/mmm (123)

***

(4)
! ZnCo2HRu GGA-PBE optimized geometry; values from VASP
&SYSTEM
  ibrav = 0, nat = 5, ntyp = 4
/
ATOMIC_SPECIES
Co 58.93 Co.upf
H 1.01 H.upf
Ru 101.07 Ru.upf
Zn 65.41 Zn.upf
CELL_PARAMETERS angstrom
3.717 0.000 0.000
0.000 3.717 0.000
0.000 0.000 3.803
ATOMIC_POSITIONS crystal
Co 0.500 0.000 0.000
Co 0.000 0.500 0.000
H 0.000 0.000 0.000
Ru 0.000 0.000 0.500
Zn 0.500 0.500 0.500
! E above lowest polymorph = 0 meV per atom
! final energy = -0.2033 Ha/atom
! space group = P4/mmm (123)

***

(5)
! ZnCo2HRu GGA-PBE optimized geometry; values from VASP
&SYSTEM
  ibrav = 0, nat = 5, ntyp = 4
/
ATOMIC_SPECIES
Ru 101.07 Ru.upf
Co 58.93 Co.upf
Zn 65.41 Zn.upf
H 1.01 H.upf
CELL_PARAMETERS angstrom
-0.492 1.831 -3.108
-3.563 -0.739 0.128
-0.608 3.285 2.031
ATOMIC_POSITIONS crystal
Ru 0.500 0.500 0.500
Co 0.500 0.000 0.000
Co 0.000 0.500 0.000
Zn 0.000 0.000 0.500
H 0.000 0.000 0.000
! E above lowest polymorph = 147 meV per atom
! final energy = -0.1979 Ha/atom
! space group = P4/mmm (123)

***

(6)
! Zn2CoHRu GGA-PBE optimized geometry; values from VASP
&SYSTEM
  ibrav = 0, nat = 5, ntyp = 4
/
ATOMIC_SPECIES
Ru 101.07 Ru.upf
Zn 65.41 Zn.upf
Co 58.93 Co.upf
H 1.01 H.upf
CELL_PARAMETERS angstrom
-0.788 -1.082 -3.937
-3.236 -2.280 1.274
-1.895 2.515 -0.312
ATOMIC_POSITIONS crystal
Ru 0.500 0.500 0.500
Zn 0.000 0.500 0.000
Zn 0.500 0.000 0.000
Co 0.000 0.000 0.500
H 0.000 0.000 0.000
! final energy = -0.1589 Ha/atom
! space group = P4/mmm (123)

***

(7)
! ZrCo2HRu GGA-PBE optimized geometry; values from VASP
&SYSTEM
  ibrav = 0, nat = 5, ntyp = 4
/
ATOMIC_SPECIES
Zr 91.22 Zr.upf
Ru 101.07 Ru.upf
Co 58.93 Co.upf
H 1.01 H.upf
CELL_PARAMETERS angstrom
-2.368 1.310 2.606
-1.990 -3.180 -0.210
2.313 -1.640 2.926
ATOMIC_POSITIONS crystal
Zr 0.000 0.000 0.500
Ru 0.500 0.500 0.500
Co 0.500 0.000 0.000
Co 0.000 0.500 0.000
H 0.000 0.000 0.000
! E above lowest polymorph = 48 meV per atom
! final energy = -0.2653 Ha/atom
! space group = P4/mmm (123)

***

(8)
! ZrCo2HRu GGA-PBE optimized geometry; values from VASP
&SYSTEM
  ibrav = 0, nat = 5, ntyp = 4
/
ATOMIC_SPECIES
Co 58.93 Co.upf
Zr 91.22 Zr.upf
Ru 101.07 Ru.upf
H 1.01 H.upf
CELL_PARAMETERS angstrom
-1.874 -3.266 0.683
2.785 -1.099 2.383
-1.873 1.696 2.971
ATOMIC_POSITIONS crystal
Co 0.000 0.500 0.000
Co 0.500 0.000 0.000
Zr 0.500 0.500 0.500
Ru 0.000 0.000 0.500
H 0.000 0.000 0.000
! E above lowest polymorph = 0 meV per atom
! final energy = -0.2671 Ha/atom
! space group = P4/mmm (123)

***

> Which value of final energy does entry 2 give?

-0.3309 Ha/atom

***

> The highest final energy belongs to which entry?

Zn2CoHRu

***

> The highest final energy belongs to which entry?

Zn2CoHRu